Entry 1:
Compound: KBaErSe3
Source: OQMD
Functional: PBE
Structure: relaxed

Lattice parameters (Å, degrees): 8.1222 4.2115 12.2705 90.00 106.95 90.00
Space group P2_1/m (No. 11)
Inequivalent atoms, fractional coordinates:
K 0.0182 0.2500 0.3763
Ba 0.4929 0.7500 0.3192
Er 0.1405 0.2500 0.9190
Se 0.1348 0.2500 0.1398
Se 0.2868 0.7500 0.5081
Se 0.3192 0.7500 0.8578

Distance to the lowest polymorph of the same formula (meV per atom): 0
E (eV per atom): -4.624
M_tot (μB/atom): 0.001



Entry 2:
Compound: Dy3Y2LuBi2Os
Source: OQMD
Functional: PBE
Structure: relaxed

Lattice parameters (Å, degrees): 4.2406 14.2686 8.3182 90.00 90.00 90.00
Space group Amm2 (No. 38)
Inequivalent atoms, fractional coordinates:
Dy 0.0000 0.0000 0.0000
Dy 0.0000 0.1926 0.5876
Y 0.5000 0.1160 0.2772
Lu 0.5000 0.0000 0.6294
Bi 0.5000 0.1656 0.8934
Os 0.0000 0.0000 0.4103

E (eV per atom): -6.177
M_tot (μB/atom): 0.003



Entry 3:
Compound: CsTbCoTe3
Source: OQMD
Functional: PBE
Structure: relaxed

Lattice parameters (Å, degrees): 11.5952 4.3460 16.8921 90.00 90.00 90.00
Space group Pnma (No. 62)
Inequivalent atoms, fractional coordinates:
Cs 0.2396 0.2500 0.0097
Tb 0.0042 0.2500 0.7438
Co 0.2434 0.2500 0.2840
Te 0.0648 0.2500 0.3758
Te 0.0690 0.7500 0.8648
Te 0.2422 0.7500 0.1937

Distance to the lowest polymorph of the same formula (meV per atom): 7
E (eV per atom): -4.525
M_tot (μB/atom): 0.466